The following is a PBE-GGA calculation of an optimized crystal structure of AlPW2, from Alexandria.

Geometry as POSCAR:
```
AlPW2
1.0
-1.6664 -2.2361 -3.2402
3.9379 0.4902 -1.5901
0.9133 -2.7359 1.4184
P Al W
1 1 2
Direct
0.0000 0.5000 0.5000 P
0.5000 0.0000 0.5000 Al
0.0000 0.0000 0.0000 W
0.5000 0.5000 0.0000 W
```

Its space-group type is Cmmm, No. 65.

***

The following is a PBE-GGA calculation of an optimized crystal structure of AlPW2, from Alexandria.

Geometry as POSCAR:
```
AlPW2
1.0
4.4262 0.0000 0.0000
2.2131 3.8332 0.0000
2.2131 1.2777 3.6140
P Al W
1 1 2
Direct
0.7500 0.7500 0.7500 P
0.5000 0.5000 0.5000 Al
0.0000 0.0000 0.0000 W
0.2500 0.2500 0.2500 W
```

Its space-group type is F-43m, No. 216.

***

no.,energy (eV per atom),ΔH_f (0 K) (meV per atom),magnetic moment (μB/atom)
1,-8.533,231,0.000
2,-8.482,283,0.000